[1]
# Gd4Ge3S12

A relaxed structure of Gd4Ge3S12 (PBE, Alexandria via LeMat-Bulk).

a = 11.4681 Å, b = 11.4681 Å, c = 11.4681 Å
α = 114.96°, β = 114.96°, γ = 114.96°
Positions (direct):
Gd  0.0000  0.0000  0.0000
Gd  0.2290  0.4483  0.9842
Gd  0.4483  0.9842  0.2290
Gd  0.4842  0.9483  0.7290
Gd  0.5000  0.5000  0.5000
Gd  0.7290  0.4842  0.9483
Gd  0.9483  0.7290  0.4842
Gd  0.9842  0.2290  0.4483
Ge  0.1552  0.9806  0.3653
Ge  0.3653  0.1552  0.9806
Ge  0.4806  0.6552  0.8653
Ge  0.6552  0.8653  0.4806
Ge  0.8653  0.4806  0.6552
Ge  0.9806  0.3653  0.1552
S  0.0973  0.8033  0.1206
S  0.1023  0.6472  0.3676
S  0.1206  0.0973  0.8033
S  0.1472  0.6023  0.8676
S  0.1843  0.1926  0.3718
S  0.1926  0.3718  0.1843
S  0.2829  0.8906  0.8121
S  0.3033  0.5973  0.6206
S  0.3120  0.3906  0.7829
S  0.3676  0.1023  0.6472
S  0.3718  0.1843  0.1926
S  0.3906  0.7829  0.3120
S  0.5973  0.6206  0.3033
S  0.6023  0.8676  0.1472
S  0.6206  0.3033  0.5973
S  0.6472  0.3676  0.1023
S  0.6843  0.8718  0.6926
S  0.6926  0.6843  0.8718
S  0.7829  0.3121  0.3906
S  0.8033  0.1206  0.0973
S  0.8121  0.2829  0.8906
S  0.8676  0.1472  0.6023
S  0.8718  0.6926  0.6843
S  0.8906  0.8121  0.2829

Results
- Symmetry: R3c, No. 161

[2]
# GdGeSb

A relaxed structure of GdGeSb (PBE, Alexandria via LeMat-Bulk).

a = 5.7401 Å, b = 5.7401 Å, c = 5.7401 Å
α = 141.47°, β = 141.47°, γ = 55.63°
Positions (direct):
Gd  0.0000  0.0000  0.0000
Ge  0.3198  0.3198  0.0000
Sb  0.6845  0.6845  0.0000

Results
- D(E_F): 1.9 states/eV/f.u.
- Symmetry: I4mm, No. 107

[3]
# GdGeSb

A relaxed structure of GdGeSb (PBE, Alexandria via LeMat-Bulk).

a = 4.7979 Å, b = 4.7979 Å, c = 3.8908 Å
α = 90.00°, β = 90.00°, γ = 120.00°
Positions (direct):
Gd  0.0000  0.0000  0.0000
Ge  0.3333  0.6667  0.5010
Sb  0.6667  0.3333  0.4996

Results
- D(E_F): 2.3 states/eV/f.u.
- Symmetry: P3m1, No. 156

[4]
# Gd2ScGe

A relaxed structure of Gd2ScGe (PBE, Alexandria via LeMat-Bulk).

a = 4.6358 Å, b = 4.6358 Å, c = 4.5451 Å
α = 90.00°, β = 90.00°, γ = 90.00°
Positions (direct):
Gd  0.0000  0.5000  0.0000
Gd  0.5000  0.0000  0.0000
Sc  0.0000  0.0000  0.5000
Ge  0.5000  0.5000  0.5000

Results
- Formation enthalpy at 0 K: -0.354 eV/atom
- D(E_F): 5.7 states/eV/f.u.
- Symmetry: P4/mmm, No. 123

[5]
# Gd2Sc3Ge4

A relaxed structure of Gd2Sc3Ge4 (PBE, Alexandria via LeMat-Bulk).

a = 7.2667 Å, b = 14.1356 Å, c = 7.5377 Å
α = 90.00°, β = 90.00°, γ = 90.00°
Positions (direct):
Gd  0.0016  0.0961  0.1758
Gd  0.0016  0.4039  0.1758
Gd  0.4984  0.5961  0.6758
Gd  0.4984  0.9039  0.6758
Gd  0.5016  0.0961  0.3242
Gd  0.5016  0.4039  0.3242
Gd  0.9984  0.5961  0.8242
Gd  0.9984  0.9039  0.8242
Sc  0.1663  0.1254  0.6683
Sc  0.1663  0.3746  0.6683
Sc  0.1703  0.7500  0.5011
Sc  0.3297  0.2500  0.0011
Sc  0.3337  0.6254  0.1683
Sc  0.3337  0.8746  0.1683
Sc  0.6663  0.1254  0.8317
Sc  0.6663  0.3746  0.8317
Sc  0.6703  0.7500  0.9989
Sc  0.8297  0.2500  0.4989
Sc  0.8337  0.6254  0.3317
Sc  0.8337  0.8746  0.3317
Ge  0.0323  0.7500  0.1266
Ge  0.1705  0.5413  0.4600
Ge  0.1705  0.9587  0.4600
Ge  0.1959  0.2500  0.3625
Ge  0.3041  0.7500  0.8625
Ge  0.3295  0.0413  0.9600
Ge  0.3295  0.4587  0.9600
Ge  0.4677  0.2500  0.6266
Ge  0.5323  0.7500  0.3734
Ge  0.6705  0.5413  0.0400
Ge  0.6705  0.9587  0.0400
Ge  0.6959  0.2500  0.1375
Ge  0.8041  0.7500  0.6375
Ge  0.8295  0.0413  0.5400
Ge  0.8295  0.4587  0.5400
Ge  0.9677  0.2500  0.8734

Results
- Formation enthalpy at 0 K: -0.908 eV/atom
- D(E_F): 7.0 states/eV/f.u.
- Symmetry: Pnma, No. 62

[6]
# Gd2ScGe

A relaxed structure of Gd2ScGe (PBE, Alexandria via LeMat-Bulk).

a = 11.4461 Å, b = 11.4461 Å, c = 11.4461 Å
α = 17.17°, β = 17.17°, γ = 17.17°
Positions (direct):
Gd  0.0863  0.0863  0.0863
Gd  0.9137  0.9137  0.9137
Sc  0.5000  0.5000  0.5000
Ge  0.0000  0.0000  0.0000

Results
- Formation enthalpy at 0 K: 0.166 eV/atom
- D(E_F): 4.9 states/eV/f.u.
- Symmetry: R-3m, No. 166

Number 1: total energy -286.277 eV for the cell shown, size of the total moment 27.97 Bohr magnetons per cell. Number 2: total energy -24.228 eV for the cell shown, size of the total moment 7.71 Bohr magnetons per cell. Number 3: total energy -24.150 eV for the cell shown, size of the total moment 6.92 Bohr magnetons per cell. Number 4: total energy -40.526 eV for the cell shown, size of the total moment 15.26 Bohr magnetons per cell. Number 5: total energy -295.197 eV for the cell shown, size of the total moment 58.39 Bohr magnetons per cell. Number 6: total energy -38.445 eV for the cell shown, size of the total moment 14.26 Bohr magnetons per cell.